(1)
Material: Zn5CuNi
Method: DFT, PBE
State: optimized geometry

The value obtained for the energy of formation is -0.054 eV per atom. The calculated total energy comes out at -2.375 eV/atom. The calculation puts the energy above the lowest structure with this stoichiometry at 0 meV/atom. The magnetic moment comes out at 0.00 μB per formula unit.

abc: 4.1496 4.1496 5.8847
angles: 90.00 90.00 90.00
With the nearest neighbours (Å) after each atom.
Space group P4/mmm (No. 123)
Unique sites:
Zn 0.0000 0.0000 0.0000 [1 per cell]  8 Zn 2.63, 4 Cu 2.93, 2 Ni 2.94
Zn 0.0000 0.5000 0.2759 [4 per cell]  2 Ni 2.46, 2 Cu 2.63, 3 Zn 2.63-2.64
Cu 0.5000 0.5000 0.0000 [1 per cell]  12 Zn 2.63-2.93
Ni 0.0000 0.0000 0.5000 [1 per cell]  8 Zn 2.46

(2)
Material: Zn2CuNi
Method: DFT, PBE
State: optimized geometry

The value obtained for the energy of formation is -0.115 eV per atom. The calculated total energy comes out at -3.221 eV/atom. The magnetic moment comes out at 0.16 μB per formula unit.

abc: 2.6575 2.6575 24.9180
angles: 90.00 90.00 120.00
With the nearest neighbours (Å) after each atom.
Space group R-3m (No. 166, hexagonal axes)
Unique sites:
Zn 0.0000 0.0000 0.2476 [6 per cell]  3 Ni 2.53, 3 Cu 2.63, 6 Zn 2.66
Cu 0.0000 0.0000 0.0000 [3 per cell]  6 Zn 2.63, 6 Cu 2.66
Ni 0.0000 0.0000 0.5000 [3 per cell]  6 Zn 2.53, 6 Ni 2.66

(3)
Material: Zn4Cu5Ni3
Method: DFT, PBE
State: optimized geometry

The value obtained for the energy of formation is 0.137 eV per atom. The calculated total energy comes out at -3.439 eV/atom. The magnetic moment comes out at 0.00 μB per formula unit.

abc: 6.9135 4.4035 10.7585
angles: 90.00 103.44 90.00
With the nearest neighbours (Å) after each atom.
Space group C2/m (No. 12)
Unique sites:
Zn 0.0646 0.0000 0.1190 [4 per cell]  2 Zn 2.45-2.51, 7 Cu 2.58-2.67, 1 Ni 2.60
Zn 0.1946 0.0000 0.3509 [4 per cell]  4 Ni 2.32-2.59, 2 Cu 2.34-2.58, 1 Zn 2.45
Cu 0.0000 0.5000 0.5000 [2 per cell]  2 Ni 2.20, 2 Zn 2.34
Cu 0.0424 0.5000 0.7850 [4 per cell]  3 Ni 2.48-2.52, 4 Zn 2.58-2.67, 2 Cu 2.62-2.77
Cu 0.1835 0.5000 0.0336 [4 per cell]  4 Cu 2.47-2.62, 1 Ni 2.54, 4 Zn 2.58-2.66
Ni 0.0000 0.0000 0.5000 [2 per cell]  2 Cu 2.20, 2 Zn 2.32, 2 Ni 2.45
Ni 0.1740 0.0000 0.7263 [4 per cell]  1 Ni 2.45, 4 Cu 2.48-2.54, 4 Zn 2.49-2.60

(4)
Material: ZnCu2Ni6
Method: DFT, PBE
State: optimized geometry

The value obtained for the energy of formation is 0.118 eV per atom. The calculated total energy comes out at -4.788 eV/atom. The calculation puts the energy above the lowest structure with this stoichiometry at 0 meV/atom. The magnetic moment comes out at 2.04 μB per formula unit.

abc: 11.3008 5.7983 6.7096
angles: 90.00 104.08 90.00
With the nearest neighbours (Å) after each atom.
Space group C2/c (No. 15)
Unique sites:
Zn 0.0000 0.2169 0.2500 [4 per cell]  6 Ni 2.42-2.55, 2 Cu 2.56
Cu 0.2304 0.2629 0.3018 [8 per cell]  8 Ni 2.41-2.70, 1 Zn 2.56, 1 Cu 2.59
Ni 0.0519 0.1748 0.6206 [8 per cell]  6 Ni 2.32-2.50, 1 Cu 2.41, 2 Zn 2.42-2.55
Ni 0.1055 0.4678 0.9723 [8 per cell]  5 Ni 2.37-2.53, 1 Zn 2.47, 2 Cu 2.55-2.60
Ni 0.1709 0.0811 0.9634 [8 per cell]  6 Ni 2.37-2.62, 4 Cu 2.44-2.51